Computed, not measured: a geometry-optimized CaCo2Mo structure at the GGA-PBE level of DFT.

## Properties
E above lowest polymorph (meV/atom): 211
Formation energy (eV/atom): 0.43

Unit cell a=4.103 b=3.072 c=10.668 alpha=90.00 beta=90.00 gamma=90.00
Space group Amm2 (No. 38)
One atom of each set of equivalent atoms:
Ca  0.000  0.000  0.000
Co  0.000  0.000  0.744
Co  0.500  0.000  0.615
Mo  0.500  0.000  0.278